[1]
! Lu4TlCoC2 | OQMD | PBE | optimized geometry; values from VASP
! Total moment ... 0.7 μB/f.u.
! DFT total energy ... -6.01 eV/atom
! Space-group type ... P-6m2, No. 187
&SYSTEM
  ibrav = 0, nat = 8, ntyp = 4
/
ATOMIC_SPECIES
Lu 174.97 Lu.upf
Co 58.93 Co.upf
C 12.01 C.upf
Tl 204.38 Tl.upf
ATOMIC_POSITIONS crystal
Lu 0.667 0.333 0.866
Lu 0.000 0.000 0.687
Lu 0.667 0.333 0.134
Lu 0.000 0.000 0.313
Co 0.000 0.000 0.000
C 0.333 0.667 0.228
C 0.333 0.667 0.772
Tl 0.667 0.333 0.500
CELL_PARAMETERS angstrom
3.501 0.000 0.000
-1.751 3.032 0.000
0.000 0.000 14.708

=====

[2]
! Y2Lu4Co3C3 | OQMD | PBE | optimized geometry; values from VASP
! Total moment ... 2.6 μB/f.u.
! DFT total energy ... -6.82 eV/atom
! Space-group type ... C2/c, No. 15
&SYSTEM
  ibrav = 0, nat = 24, ntyp = 4
/
ATOMIC_SPECIES
Co 58.93 Co.upf
Lu 174.97 Lu.upf
C 12.01 C.upf
Y 88.91 Y.upf
ATOMIC_POSITIONS crystal
Co 0.442 0.157 0.250
Co 0.843 0.558 0.250
Co 0.157 0.442 0.750
Co 0.792 0.208 0.250
Co 0.558 0.843 0.750
Co 0.208 0.792 0.750
Lu 0.201 0.030 0.593
Lu 0.301 0.139 0.906
Lu 0.799 0.970 0.407
Lu 0.030 0.201 0.093
Lu 0.139 0.301 0.406
Lu 0.699 0.861 0.094
Lu 0.970 0.799 0.907
Lu 0.861 0.699 0.594
C 0.666 0.167 0.997
C 0.000 0.500 0.000
C 0.833 0.334 0.503
C 0.167 0.666 0.497
C 0.500 0.000 0.500
C 0.334 0.833 0.003
Y 0.471 0.621 0.392
Y 0.529 0.379 0.608
Y 0.379 0.529 0.108
Y 0.621 0.471 0.892
CELL_PARAMETERS angstrom
5.213 -3.036 0.000
5.213 3.036 0.000
-3.493 0.000 13.591

=====

[3]
! Lu4Zr2Co3C3 | OQMD | PBE | optimized geometry; values from VASP
! Total moment ... 1.4 μB/f.u.
! DFT total energy ... -7.16 eV/atom
! Space-group type ... C2/c, No. 15
&SYSTEM
  ibrav = 0, nat = 24, ntyp = 4
/
ATOMIC_SPECIES
Lu 174.97 Lu.upf
C 12.01 C.upf
Co 58.93 Co.upf
Zr 91.22 Zr.upf
ATOMIC_POSITIONS crystal
Lu 0.964 0.806 0.402
Lu 0.133 0.301 0.902
Lu 0.301 0.133 0.402
Lu 0.806 0.964 0.902
Lu 0.867 0.699 0.098
Lu 0.036 0.194 0.598
Lu 0.194 0.036 0.098
Lu 0.699 0.867 0.598
C 0.000 0.500 0.500
C 0.650 0.199 0.500
C 0.500 0.000 0.000
C 0.350 0.801 0.500
C 0.801 0.350 0.000
C 0.199 0.650 0.000
Co 0.908 0.092 0.750
Co 0.578 0.905 0.250
Co 0.095 0.422 0.250
Co 0.905 0.578 0.750
Co 0.422 0.095 0.750
Co 0.092 0.908 0.250
Zr 0.470 0.633 0.900
Zr 0.530 0.367 0.100
Zr 0.633 0.470 0.400
Zr 0.367 0.530 0.600
CELL_PARAMETERS angstrom
-1.343 1.291 5.516
-5.454 -0.726 1.904
5.132 -12.870 1.347